No. 1
# CuOs2Ru PBE optimized geometry
# Energy of formation from the pure elements in eV/atom: 0.26
# DFT total energy in eV per atom: -8.70
# Distance to the lowest polymorph of the same formula in eV per atom: 0.055
# Magnetic moment in μB per formula unit: 0.00
data_CuOs2Ru
_chemical_formula_sum 'Cu1 Os2 Ru1'
_cell_length_a 2.728
_cell_length_b 2.728
_cell_length_c 7.411
_cell_angle_alpha 90.00
_cell_angle_beta 90.00
_cell_angle_gamma 90.00
_space_group_name_H-M_alt 'P 4 m m'
_space_group_IT_number 99
_space_group_name_Hall 'P 4 -2'
loop_
_atom_site_label
_atom_site_type_symbol
_atom_site_fract_x
_atom_site_fract_y
_atom_site_fract_z
Cu1 Cu 0.000 0.000 0.000
Os1 Os 0.000 0.000 0.500
Os2 Os 0.500 0.500 0.247
Ru1 Ru 0.500 0.500 0.754

No. 2
# ScCd3S PBE optimized geometry
# DFT total energy in eV per atom: -1.84
# Distance to the lowest polymorph of the same formula in eV per atom: 0.390
# Magnetic moment in μB per formula unit: 0.64
# Uncorrected formation energy in eV/atom: 0.796
data_ScCd3S
_chemical_formula_sum 'Sc1 Cd3 S1'
_cell_length_a 5.595
_cell_length_b 5.595
_cell_length_c 5.595
_cell_angle_alpha 90.00
_cell_angle_beta 90.00
_cell_angle_gamma 90.00
_space_group_name_H-M_alt 'P m -3 m'
_space_group_IT_number 221
_space_group_name_Hall '-P 4 2 3'
loop_
_atom_site_label
_atom_site_type_symbol
_atom_site_fract_x
_atom_site_fract_y
_atom_site_fract_z
Sc1 Sc 0.000 0.000 0.000
Cd1 Cd 0.000 0.000 0.500
S1 S 0.500 0.500 0.500

No. 3
# CeNdIr PBE optimized geometry
# Energy of formation from the pure elements in eV/atom: -0.45
# DFT total energy in eV per atom: -6.98
# Distance to the lowest polymorph of the same formula in eV per atom: 0.085
# Magnetic moment in μB per formula unit: 1.15
data_CeNdIr
_chemical_formula_sum 'Ce4 Nd4 Ir4'
_cell_length_a 6.954
_cell_length_b 6.954
_cell_length_c 6.954
_cell_angle_alpha 90.00
_cell_angle_beta 90.00
_cell_angle_gamma 90.00
_space_group_name_H-M_alt 'F -4 3 m'
_space_group_IT_number 216
_space_group_name_Hall 'F -4 2 3'
loop_
_atom_site_label
_atom_site_type_symbol
_atom_site_fract_x
_atom_site_fract_y
_atom_site_fract_z
Ce1 Ce 0.000 0.000 0.000
Nd1 Nd 0.000 0.000 0.500
Ir1 Ir 0.250 0.250 0.250

No. 4
# Sm3Ga3Ir PBE optimized geometry
# Energy of formation from the pure elements in eV/atom: -0.68
# DFT total energy in eV per atom: -5.27
# Magnetic moment in μB per formula unit: 0.00
data_Sm3Ga3Ir
_chemical_formula_sum 'Sm12 Ga12 Ir4'
_cell_length_a 11.072
_cell_length_b 4.255
_cell_length_c 14.633
_cell_angle_alpha 90.00
_cell_angle_beta 108.48
_cell_angle_gamma 90.00
_space_group_name_H-M_alt 'C 1 2/m 1'
_space_group_IT_number 12
_space_group_name_Hall '-C 2y'
loop_
_atom_site_label
_atom_site_type_symbol
_atom_site_fract_x
_atom_site_fract_y
_atom_site_fract_z
Sm1 Sm 0.025 0.000 0.384
Sm2 Sm 0.112 0.000 0.922
Sm3 Sm 0.236 0.000 0.238
Ga1 Ga 0.027 0.500 0.231
Ga2 Ga 0.104 0.500 0.075
Ga3 Ga 0.152 0.500 0.536
Ir1 Ir 0.238 0.500 0.385

No. 5
# PmMgInBi PBE optimized geometry
# Energy of formation from the pure elements in eV/atom: -0.27
# DFT total energy in eV per atom: -3.51
# Magnetic moment in μB per formula unit: 0.00
data_PmMgInBi
_chemical_formula_sum 'Pm4 Mg4 In4 Bi4'
_cell_length_a 7.651
_cell_length_b 7.651
_cell_length_c 7.651
_cell_angle_alpha 90.00
_cell_angle_beta 90.00
_cell_angle_gamma 90.00
_space_group_name_H-M_alt 'F -4 3 m'
_space_group_IT_number 216
_space_group_name_Hall 'F -4 2 3'
loop_
_atom_site_label
_atom_site_type_symbol
_atom_site_fract_x
_atom_site_fract_y
_atom_site_fract_z
Pm1 Pm 0.000 0.000 0.000
Mg1 Mg 0.000 0.000 0.500
In1 In 0.250 0.250 0.250
Bi1 Bi 0.250 0.250 0.750

No. 6
# RbCo PBE optimized geometry
# Energy of formation from the pure elements in eV/atom: 0.94
# DFT total energy in eV per atom: -3.10
# Distance to the lowest polymorph of the same formula in eV per atom: 0.262
# Magnetic moment in μB per formula unit: 2.02
data_RbCo
_chemical_formula_sum 'Rb8 Co8'
_cell_length_a 9.991
_cell_length_b 9.991
_cell_length_c 9.991
_cell_angle_alpha 90.00
_cell_angle_beta 90.00
_cell_angle_gamma 90.00
_space_group_name_H-M_alt 'I -4 3 m'
_space_group_IT_number 217
_space_group_name_Hall 'I -4 2 3'
loop_
_atom_site_label
_atom_site_type_symbol
_atom_site_fract_x
_atom_site_fract_y
_atom_site_fract_z
Rb1 Rb 0.216 0.216 0.784
Co1 Co 0.080 0.080 0.080

No. 7
# CrMoBr2 PBE optimized geometry
# DFT total energy in eV per atom: -5.22
# Distance to the lowest polymorph of the same formula in eV per atom: 0.704
# Magnetic moment in μB per formula unit: 6.48
# Uncorrected formation energy in eV/atom: 0.730
data_CrMoBr2
_chemical_formula_sum 'Cr2 Mo2 Br4'
_cell_length_a 3.218
_cell_length_b 6.073
_cell_length_c 8.750
_cell_angle_alpha 90.00
_cell_angle_beta 90.00
_cell_angle_gamma 90.00
_space_group_name_H-M_alt 'C m m m'
_space_group_IT_number 65
_space_group_name_Hall '-C 2 2'
loop_
_atom_site_label
_atom_site_type_symbol
_atom_site_fract_x
_atom_site_fract_y
_atom_site_fract_z
Cr1 Cr 0.000 0.000 0.000
Mo1 Mo 0.000 0.000 0.500
Br1 Br 0.000 0.500 0.256

No. 8
# Ba2NpO4F2 PBE optimized geometry
# DFT total energy in eV per atom: -7.55
# Magnetic moment in μB per formula unit: 1.00
# Uncorrected formation energy in eV/atom: -3.067
data_Ba2NpO4F2
_chemical_formula_sum 'Ba4 Np2 O8 F4'
_cell_length_a 6.216
_cell_length_b 6.216
_cell_length_c 8.294
_cell_angle_alpha 90.00
_cell_angle_beta 90.00
_cell_angle_gamma 90.00
_space_group_name_H-M_alt 'I 4/m m m'
_space_group_IT_number 139
_space_group_name_Hall '-I 4 2'
loop_
_atom_site_label
_atom_site_type_symbol
_atom_site_fract_x
_atom_site_fract_y
_atom_site_fract_z
Ba1 Ba 0.000 0.500 0.250
Np1 Np 0.000 0.000 0.000
O1 O 0.224 0.224 0.000
F1 F 0.000 0.000 0.270

No. 9
# Rb2CdTeF PBE optimized geometry
# DFT total energy in eV per atom: -2.27
# Magnetic moment in μB per formula unit: 0.00
# Uncorrected formation energy in eV/atom: -0.701
data_Rb2CdTeF
_chemical_formula_sum 'Rb2 Cd1 Te1 F1'
_cell_length_a 7.017
_cell_length_b 7.017
_cell_length_c 4.813
_cell_angle_alpha 90.00
_cell_angle_beta 90.00
_cell_angle_gamma 90.00
_space_group_name_H-M_alt 'P 4/m m m'
_space_group_IT_number 123
_space_group_name_Hall '-P 4 2'
loop_
_atom_site_label
_atom_site_type_symbol
_atom_site_fract_x
_atom_site_fract_y
_atom_site_fract_z
Rb1 Rb 0.000 0.500 0.000
Cd1 Cd 0.000 0.000 0.500
Te1 Te 0.500 0.500 0.000
F1 F 0.500 0.500 0.500

No. 10
# Ba2CuP2O9 PBE optimized geometry
# DFT total energy in eV per atom: -6.62
# Distance to the lowest polymorph of the same formula in eV per atom: 0.099
# Magnetic moment in μB per formula unit: 3.02
# Uncorrected formation energy in eV/atom: -2.091
data_Ba2CuP2O9
_chemical_formula_sum 'Ba8 Cu4 P8 O36'
_cell_length_a 16.441
_cell_length_b 5.175
_cell_length_c 12.560
_cell_angle_alpha 90.00
_cell_angle_beta 124.36
_cell_angle_gamma 90.00
_space_group_name_H-M_alt 'C 1 2/c 1'
_space_group_IT_number 15
_space_group_name_Hall '-C 2yc'
loop_
_atom_site_label
_atom_site_type_symbol
_atom_site_fract_x
_atom_site_fract_y
_atom_site_fract_z
Ba1 Ba 0.105 0.244 0.180
Cu1 Cu 0.250 0.250 0.000
P1 P 0.151 0.258 0.529
O1 O 0.000 0.069 0.750
O2 O 0.081 0.255 0.575
O3 O 0.091 0.285 0.381
O4 O 0.214 0.006 0.582
O5 O 0.222 0.495 0.593

No. 11
# Mg5BiSb2 PBE optimized geometry
# DFT total energy in eV per atom: -2.73
# Magnetic moment in μB per formula unit: 0.00
# Uncorrected formation energy in eV/atom: -0.223
data_Mg5BiSb2
_chemical_formula_sum 'Mg10 Bi2 Sb4'
_cell_length_a 4.261
_cell_length_b 6.962
_cell_length_c 13.987
_cell_angle_alpha 90.00
_cell_angle_beta 90.00
_cell_angle_gamma 90.00
_space_group_name_H-M_alt 'I m m m'
_space_group_IT_number 71
_space_group_name_Hall '-I 2 2'
loop_
_atom_site_label
_atom_site_type_symbol
_atom_site_fract_x
_atom_site_fract_y
_atom_site_fract_z
Mg1 Mg 0.000 0.000 0.000
Mg2 Mg 0.000 0.245 0.371
Bi1 Bi 0.000 0.500 0.000
Sb1 Sb 0.000 0.000 0.201

No. 12
# Ga2CuSbP PBE optimized geometry
# DFT total energy in eV per atom: -3.07
# Magnetic moment in μB per formula unit: 0.17
# Uncorrected formation energy in eV/atom: 0.870
data_Ga2CuSbP
_chemical_formula_sum 'Ga2 Cu1 Sb1 P1'
_cell_length_a 5.312
_cell_length_b 5.312
_cell_length_c 4.730
_cell_angle_alpha 90.00
_cell_angle_beta 90.00
_cell_angle_gamma 90.00
_space_group_name_H-M_alt 'P 4/m m m'
_space_group_IT_number 123
_space_group_name_Hall '-P 4 2'
loop_
_atom_site_label
_atom_site_type_symbol
_atom_site_fract_x
_atom_site_fract_y
_atom_site_fract_z
Ga1 Ga 0.000 0.500 0.000
Cu1 Cu 0.000 0.000 0.500
Sb1 Sb 0.000 0.000 0.000
P1 P 0.500 0.500 0.500